The following is a PBE calculation of crystalline Rb2SiNF6 at its relaxed geometry, from the Alexandria database.

Unit cell a=6.2654 b=6.2654 c=6.2705 alpha=60.03 beta=60.03 gamma=90.00
Each line ends with the local moment (μB).
Positions (direct):
F 0.8059 0.1941 0.0000  0.01
F 0.1941 0.1941 0.0000  0.01
F 0.8062 0.8062 0.3875  0.01
F 0.8059 0.8059 0.0000  0.01
F 0.1938 0.1938 0.6125  0.01
F 0.1941 0.8059 0.0000  0.01
Si 0.0000 0.0000 0.0000  0.01
N 0.5000 0.5000 0.0000  1.93
Rb 0.7500 0.2500 0.5000  0.00
Rb 0.2500 0.7500 0.5000  0.00

Values from the calculation:
D(E_F) = 0.0 states/eV per cell
space group = No. 139
total magnetization = 0.300 μB per atom
uncorrected energy = -4.985 eV per atom

***

The following is a PBE calculation of crystalline TaReSN2 at its relaxed geometry, from the Alexandria database.

Unit cell a=3.9653 b=3.9653 c=5.1158 alpha=90.00 beta=90.00 gamma=90.00
Each line ends with the local moment (μB).
Positions (direct):
Re 0.5000 0.5000 0.5000  3.48
N 0.0000 0.5000 0.0000  -0.01
N 0.5000 0.0000 0.0000  -0.01
S 0.0000 0.0000 0.5000  0.00
Ta 0.0000 0.0000 0.0000  0.05

Values from the calculation:
D(E_F) = 2.8 states/eV per cell
space group = No. 123
relative energy among the computed polymorphs = 162.2 meV per atom
total magnetization = 0.823 μB per atom

***

The following is a PBE calculation of crystalline KPb2F2 at its relaxed geometry, from the Alexandria database.

Unit cell a=9.1938 b=9.1938 c=3.2255 alpha=90.00 beta=90.00 gamma=90.00
Positions (direct):
Pb 0.8748 0.6252 0.0000
Pb 0.6252 0.1252 0.0000
Pb 0.3748 0.8748 0.0000
Pb 0.1252 0.3748 0.0000
F 0.2717 0.2283 0.5000
F 0.7717 0.2717 0.5000
F 0.7283 0.7717 0.5000
F 0.2283 0.7283 0.5000
K 0.5000 0.5000 0.0000
K 0.0000 0.0000 0.0000

Values from the calculation:
D(E_F) = 6.8 states/eV per cell
space group = No. 127
relative energy among the computed polymorphs = 200.6 meV per atom
total magnetization = 0.000 μB per atom

***

The following is a PBE calculation of crystalline PmNd2Cd2Sn2 at its relaxed geometry, from the Alexandria database.

Unit cell a=4.9905 b=4.9905 c=9.6330 alpha=74.99 beta=74.99 gamma=60.00
Positions (direct):
Cd 0.4164 0.4164 0.7507
Cd 0.5836 0.5836 0.2493
Sn 0.2685 0.2685 0.1945
Sn 0.7315 0.7315 0.8055
Pm 0.0000 0.0000 0.0000
Nd 0.8681 0.8681 0.3956
Nd 0.1319 0.1319 0.6044

Values from the calculation:
D(E_F) = 5.9 states/eV per cell
space group = No. 166
ΔE_f = -0.340 eV/atom
total magnetization = 0.000 μB per atom

***

What did the second record say?
The following is a PBE calculation of crystalline TaReSN2 at its relaxed geometry, from the Alexandria database.

Unit cell a=3.9653 b=3.9653 c=5.1158 alpha=90.00 beta=90.00 gamma=90.00
Each line ends with the local moment (μB).
Positions (direct):
Re 0.5000 0.5000 0.5000  3.48
N 0.0000 0.5000 0.0000  -0.01
N 0.5000 0.0000 0.0000  -0.01
S 0.0000 0.0000 0.5000  0.00
Ta 0.0000 0.0000 0.0000  0.05

Values from the calculation:
D(E_F) = 2.8 states/eV per cell
space group = No. 123
relative energy among the computed polymorphs = 162.2 meV per atom
total magnetization = 0.823 μB per atom

***

Question: Among the records above, which one has the highest D(E_F)?
Answer: KPb2F2